TiH2Pt | PBE-GGA | optimized geometry

a b c (Å): 5.359 5.359 5.359
angles (deg): 90.00 90.00 90.00
Space group Fm-3m (No. 225)
Asymmetric unit:
Ti (0.000, 0.000, 0.000)
H (0.250, 0.250, 0.250)
Pt (0.000, 0.000, 0.500)

Output
- D(E_F): 2.854 states/eV/f.u.
- Distance to the lowest polymorph of the same formula: 359 meV per atom
- Raw total energy: -20.5 eV/f.u.
- V: 153.90 Å³/cell